A plane-wave DFT calculation with PBE-GGA was carried out for PuTa2Nb after structural relaxation.

Unit cell a=4.8747 b=4.8747 c=3.2483 alpha=90.00 beta=90.00 gamma=90.00
With the nearest neighbours (Å) after each atom.
Element x y z (fractional)
Pu: 0.0000 0.0000 0.0000  8 Ta 2.93, 2 Pu 3.25
Ta: 0.0000 0.5000 0.5000  4 Nb 2.93, 4 Pu 2.93, 2 Ta 3.25
Ta: 0.5000 0.0000 0.5000  4 Nb 2.93, 4 Pu 2.93, 2 Ta 3.25
Nb: 0.5000 0.5000 0.0000  8 Ta 2.93, 2 Nb 3.25

**Energy above the most stable polymorph in this dataset**: 53 meV per atom
**Space-group type**: P4/mmm (123)
**ΔE_f**: 0.277 eV per atom
**Magnetization**: 1.082 μB per atom